1.
Material: PdPtRh3
Method: DFT, GGA-PBE
State: relaxed

The structure in CIF format:
```
data_PdPtRh3
_chemical_formula_sum 'Pd2 Pt2 Rh6'
_space_group_name_H-M_alt 'P 1'
_space_group_IT_number 1
_space_group_name_Hall 'P 1'
_cell_length_a 7.281
_cell_length_b 7.281
_cell_length_c 5.514
_cell_angle_alpha 100.89
_cell_angle_beta 100.89
_cell_angle_gamma 30.82
loop_
_atom_site_label
_atom_site_type_symbol
_atom_site_fract_x
_atom_site_fract_y
_atom_site_fract_z
Pd1 Pd 0.102 0.102 0.052
Pd2 Pd 0.898 0.898 0.948
Pt1 Pt 0.500 0.500 0.253
Pt2 Pt 0.500 0.500 0.747
Rh1 Rh 0.102 0.102 0.551
Rh2 Rh 0.298 0.298 0.645
Rh3 Rh 0.299 0.299 0.154
Rh4 Rh 0.701 0.701 0.846
Rh5 Rh 0.702 0.702 0.355
Rh6 Rh 0.898 0.898 0.449
```

Computed properties:
E ... -33.17 eV per formula unit
V ... 147 Å³/cell
Excess energy over the best structure of this formula in the dataset ... 0 meV per atom

2.
Material: PdPt9Rh2
Method: DFT, GGA-PBE
State: relaxed

The structure in CIF format:
```
data_PdPt9Rh2
_chemical_formula_sum 'Pd1 Pt9 Rh2'
_space_group_name_H-M_alt 'P 1'
_space_group_IT_number 1
_space_group_name_Hall 'P 1'
_cell_length_a 3.949
_cell_length_b 3.949
_cell_length_c 11.839
_cell_angle_alpha 90.00
_cell_angle_beta 90.00
_cell_angle_gamma 90.00
loop_
_atom_site_label
_atom_site_type_symbol
_atom_site_fract_x
_atom_site_fract_y
_atom_site_fract_z
Pd1 Pd 0.000 0.000 0.000
Pt1 Pt 0.000 0.500 0.169
Pt2 Pt 0.000 0.500 0.500
Pt3 Pt 0.000 0.500 0.831
Pt4 Pt 0.500 0.000 0.169
Pt5 Pt 0.500 0.000 0.500
Pt6 Pt 0.500 0.000 0.831
Pt7 Pt 0.500 0.500 0.000
Pt8 Pt 0.500 0.500 0.333
Pt9 Pt 0.500 0.500 0.667
Rh1 Rh 0.000 0.000 0.336
Rh2 Rh 0.000 0.000 0.664
```

Computed properties:
E ... -74.55 eV per formula unit
V ... 185 Å³/cell

| no. | magnetic moment (μB/cell) | density of states at the Fermi level (states/eV/cell) | E_form (eV/atom) |
| --- | --- | --- | --- |
| 1 | 0.00 | 16.51 | 0.023 |
| 2 | 0.02 | 25.66 | -0.024 |